[1]
The following is a GGA-PBE calculation of a relaxed AlRh2SeI crystal, from Alexandria.

total energy	-17.88	eV/cell
energy relative to the elements, uncorrected	1.12	eV per atom
space-group type	P4/mmm, No. 123

POSCAR file:
```
AlRh2SeI
1.0
4.866 0.000 0.000
0.000 5.572 0.000
0.000 0.000 4.866
Se Rh I Al
1 2 1 1
Direct
0.000 0.500 0.000
0.000 0.000 0.500
0.500 0.000 0.000
0.000 0.000 0.000
0.500 0.500 0.500
```

---

[2]
The following is a GGA-PBE calculation of a relaxed HfZnIr crystal, from Alexandria.

total energy	-18.74	eV/cell
space-group type	I4mm, No. 107

POSCAR file:
```
HfZnIr
1.0
2.823 0.000 0.000
0.000 2.823 0.000
-1.411 -1.411 7.097
Ir Zn Hf
1 1 1
Direct
0.951 0.951 0.901
0.776 0.776 0.552
0.123 0.123 0.246
```

---

[3]
The following is a GGA-PBE calculation of a relaxed TaNiPb2 crystal, from Alexandria.

offset from the most stable computed form	374	meV/atom
total energy	-22.90	eV/cell
space-group type	Cmmm, No. 65

POSCAR file:
```
TaNiPb2
1.0
-2.329 -1.053 1.903
1.788 -2.473 -0.917
5.052 1.128 6.809
Pb Ta Ni
2 1 1
Direct
0.000 0.000 0.524
0.000 0.000 0.976
0.500 0.500 0.250
0.500 0.500 0.750
```